The following is a GGA-PBE calculation of a relaxed structure of TlTePd, from the Alexandria database.

Cell lengths 5.105, 4.432, 4.432 Å; angles 120.00, 90.00, 90.00 degrees
Positions (direct):
Tl  0.706  0.667  0.333
Pd  0.095  0.000  0.000
Te  0.199  0.333  0.667

Computed properties:
formation energy from raw total energies	-0.69	eV/f.u.
raw total energy	-3.795	eV/atom
DOS at the Fermi energy	0.70	states/eV/atom
symmetry	P3m1, No. 156

The following is a GGA-PBE calculation of a relaxed structure of CaSn2Pd, from the Alexandria database.

Cell lengths 4.693, 4.693, 10.280 Å; angles 76.80, 76.80, 90.00 degrees
Positions (direct):
Sn  0.875  0.947  0.750
Ca  0.250  0.750  0.500
Sn  0.375  0.303  0.750
Sn  0.053  0.625  0.250
Sn  0.697  0.125  0.250
Pd  0.000  0.000  0.000
Pd  0.750  0.250  0.500
Ca  0.500  0.500  0.000

Computed properties:
raw total energy	-4.124	eV/atom
DOS at the Fermi energy	0.74	states/eV/atom
calculated formation energy	-0.324	eV/atom
symmetry	I-42d, No. 122